# 1
## La2Cu6Pd9 (GGA-PBE)

Data for La2Cu6Pd9 after structural relaxation.

Geometry as CIF:
```
data_La2Cu6Pd9
_space_group_name_H-M_alt 'P 6/m m m'
_space_group_IT_number 191
_space_group_name_Hall '-P 6 2'
_cell_length_a 5.4405
_cell_length_b 5.4405
_cell_length_c 12.3256
_cell_angle_alpha 90.00
_cell_angle_beta 90.00
_cell_angle_gamma 120.00
loop_
_atom_site_label
_atom_site_type_symbol
_atom_site_fract_x
_atom_site_fract_y
_atom_site_fract_z
La1 La 0.0000 0.0000 0.1918
Cu1 Cu 0.3333 0.6667 0.1659
Cu2 Cu 0.3333 0.6667 0.5000
Pd1 Pd 0.0000 0.5000 0.0000
Pd2 Pd 0.0000 0.5000 0.3320
```

Results
E_tot (eV/atom): -5.052
E_form (meV per atom): -277
Volume (Å³/atom): 18.59

***

# 2
## Pm2Pr3Ag2 (GGA-PBE)

Data for Pm2Pr3Ag2 after structural relaxation.

Geometry as CIF:
```
data_Pm2Pr3Ag2
_space_group_name_H-M_alt 'C m m m'
_space_group_IT_number 65
_space_group_name_Hall '-C 2 2'
_cell_length_a 3.7286
_cell_length_b 31.8970
_cell_length_c 3.6535
_cell_angle_alpha 90.00
_cell_angle_beta 90.00
_cell_angle_gamma 90.00
loop_
_atom_site_label
_atom_site_type_symbol
_atom_site_fract_x
_atom_site_fract_y
_atom_site_fract_z
Pm1 Pm 0.0000 0.2026 0.0000
Pr1 Pr 0.0000 0.0835 0.0000
Pr2 Pr 0.0000 0.5000 0.5000
Ag1 Ag 0.0000 0.3550 0.5000
```

Results
E_tot (eV/atom): -4.278
E_form (meV per atom): -58
Volume (Å³/atom): 31.04